Here is a relaxed structure of KTc2 from Alexandria. Energies are from GGA-PBE.

The structure in CIF format:
```
data_KTc2
_cell_length_a 7.436
_cell_length_b 7.436
_cell_length_c 7.436
_cell_angle_alpha 90.00
_cell_angle_beta 90.00
_cell_angle_gamma 90.00
_symmetry_space_group_name_H-M 'P a -3'
_symmetry_Int_Tables_number 205
_symmetry_space_group_name_Hall '-P 2ac 2ab 3'
loop_
_atom_site_label
_atom_site_type_symbol
_atom_site_fract_x
_atom_site_fract_y
_atom_site_fract_z
_atom_site_occupancy
K1 K 0.000 0.000 0.000 1
Tc1 Tc 0.079 0.579 0.921 1
```

Computed properties:
The formation energy is 2.52 eV per atom. The total energy comes out at -57.1 eV/cell. The energy relative to the lowest polymorph listed for this composition is 1948 meV/atom.



Here is a relaxed structure of Cd3In13 from Alexandria. Energies are from GGA-PBE.

The structure in CIF format:
```
data_Cd3In13
_cell_length_a 8.900
_cell_length_b 9.203
_cell_length_c 10.364
_cell_angle_alpha 90.00
_cell_angle_beta 90.00
_cell_angle_gamma 90.00
_symmetry_space_group_name_H-M 'A m m 2'
_symmetry_Int_Tables_number 38
loop_
_symmetry_equiv_pos_as_xyz
'x,y,z'
'-x,-y,z'
'-x,y,z'
'x,-y,z'
'x,y+1/2,z+1/2'
'-x,-y+1/2,z+1/2'
'-x,y+1/2,z+1/2'
'x,-y+1/2,z+1/2'
loop_
_atom_site_label
_atom_site_type_symbol
_atom_site_fract_x
_atom_site_fract_y
_atom_site_fract_z
_atom_site_occupancy
Cd1 Cd 0.000 0.000 0.000 1
Cd2 Cd 0.249 0.000 0.247 1
In1 In 0.000 0.000 0.493 1
In2 In 0.000 0.244 0.246 1
In3 In 0.247 0.246 0.997 1
In4 In 0.250 0.000 0.748 1
In5 In 0.500 0.000 0.002 1
In6 In 0.500 0.000 0.496 1
In7 In 0.500 0.245 0.247 1
```

Computed properties:
The formation energy is 0.03 eV per atom. The total energy comes out at -75.9 eV/cell.